Record 1
VASP calculation (PBE) on an optimized crystal structure of DyTh2Pd2.

Unit cell a=3.8621 b=6.8589 c=9.8079 alpha=90.00 beta=90.00 gamma=90.00
Space group Immm (No. 71)
Inequivalent atoms, fractional coordinates:
Dy (0.0000, 0.0000, 0.0000) (multiplicity 2)
Th (0.0000, 0.5000, 0.1980) (multiplicity 4)
Pd (0.0000, 0.2012, 0.5000) (multiplicity 4)

ΔE to the lowest computed polymorph	77	meV/atom
formation enthalpy at 0 K	-0.56	eV/atom

Record 2
VASP calculation (PBE) on an optimized crystal structure of LiCrCu2.

Unit cell a=2.9780 b=3.1039 c=5.6986 alpha=90.00 beta=90.24 gamma=90.00
Space group P2/m (No. 10)
Inequivalent atoms, fractional coordinates:
Li (0.0000, 0.0000, 0.0000) (multiplicity 1)
Cr (0.0000, 0.0000, 0.5000) (multiplicity 1)
Cu (0.4986, 0.5000, 0.2442) (multiplicity 2)

ΔE to the lowest computed polymorph	60	meV/atom
formation enthalpy at 0 K	0.24	eV/atom

Record 3
VASP calculation (PBE) on an optimized crystal structure of OsAuS.

Unit cell a=2.8334 b=3.0190 c=6.4200 alpha=90.00 beta=102.38 gamma=90.00
Space group Pm (No. 6)
Inequivalent atoms, fractional coordinates:
Os (0.0000, 0.0000, 0.0000) (multiplicity 1)
Au (0.3435, 0.5000, 0.6758) (multiplicity 1)
S (0.1249, 0.5000, 0.2573) (multiplicity 1)

formation energy (no corrections)	0.389	eV per atom
ΔE to the lowest computed polymorph	228	meV/atom

Record 4
VASP calculation (PBE) on an optimized crystal structure of TiBe2Ru.

Unit cell a=5.6834 b=5.6834 c=5.6834 alpha=90.00 beta=90.00 gamma=90.00
Space group Fm-3m (No. 225)
Inequivalent atoms, fractional coordinates:
Ti (0.0000, 0.0000, 0.0000) (multiplicity 4)
Be (0.2500, 0.2500, 0.2500) (multiplicity 8)
Ru (0.0000, 0.0000, 0.5000) (multiplicity 4)

formation enthalpy at 0 K	-0.31	eV/atom

Record 5
VASP calculation (PBE) on an optimized crystal structure of Tl6BiPb5.

Unit cell a=11.5306 b=10.5149 c=6.2553 alpha=90.00 beta=97.70 gamma=90.00
Space group C2/m (No. 12)
Inequivalent atoms, fractional coordinates:
Tl (0.2494, 0.0000, 0.2512) (multiplicity 4)
Tl (0.2500, 0.1658, 0.7497) (multiplicity 8)
Bi (0.0000, 0.5000, 0.0000) (multiplicity 2)
Pb (0.0000, 0.0000, 0.5000) (multiplicity 2)
Pb (0.0000, 0.1674, 0.0000) (multiplicity 4)
Pb (0.0000, 0.3350, 0.5000) (multiplicity 4)

formation enthalpy at 0 K	0.00	eV/atom

Record 6
VASP calculation (PBE) on an optimized crystal structure of LiPmErCd.

Unit cell a=7.4991 b=7.4991 c=7.4991 alpha=90.00 beta=90.00 gamma=90.00
Space group F-43m (No. 216)
Inequivalent atoms, fractional coordinates:
Li (0.0000, 0.0000, 0.0000) (multiplicity 4)
Pm (0.2500, 0.2500, 0.2500) (multiplicity 4)
Er (0.2500, 0.2500, 0.7500) (multiplicity 4)
Cd (0.0000, 0.0000, 0.5000) (multiplicity 4)

formation enthalpy at 0 K	-0.11	eV/atom

Record 7
VASP calculation (PBE) on an optimized crystal structure of Ba12LiHg6.

Unit cell a=12.1869 b=12.1869 c=12.1869 alpha=90.00 beta=90.00 gamma=90.00
Space group Im-3 (No. 204)
Inequivalent atoms, fractional coordinates:
Ba (0.0000, 0.3025, 0.1785) (multiplicity 24)
Li (0.0000, 0.0000, 0.0000) (multiplicity 2)
Hg (0.0000, 0.1290, 0.5000) (multiplicity 12)

ΔE to the lowest computed polymorph	0	meV/atom
formation enthalpy at 0 K	-0.28	eV/atom

Record 8
VASP calculation (PBE) on an optimized crystal structure of Al2ZnHg.

Unit cell a=4.1229 b=4.1229 c=4.3246 alpha=90.00 beta=90.00 gamma=90.00
Space group P4/mmm (No. 123)
Inequivalent atoms, fractional coordinates:
Al (0.0000, 0.5000, 0.0000) (multiplicity 2)
Zn (0.0000, 0.0000, 0.5000) (multiplicity 1)
Hg (0.5000, 0.5000, 0.5000) (multiplicity 1)

ΔE to the lowest computed polymorph	67	meV/atom
formation enthalpy at 0 K	0.16	eV/atom

Record 9
VASP calculation (PBE) on an optimized crystal structure of CaNiRh2.

Unit cell a=2.8639 b=4.3925 c=5.2616 alpha=90.00 beta=101.74 gamma=90.00
Space group P2/m (No. 10)
Inequivalent atoms, fractional coordinates:
Ca (0.0000, 0.0000, 0.0000) (multiplicity 1)
Ni (0.5000, 0.0000, 0.5000) (multiplicity 1)
Rh (0.3329, 0.5000, 0.7140) (multiplicity 2)

ΔE to the lowest computed polymorph	40	meV/atom
formation enthalpy at 0 K	0.04	eV/atom

Record 10
VASP calculation (PBE) on an optimized crystal structure of SrLiMn.

Unit cell a=7.4924 b=7.4924 c=7.4924 alpha=90.00 beta=90.00 gamma=90.00
Space group F-43m (No. 216)
Inequivalent atoms, fractional coordinates:
Sr (0.0000, 0.0000, 0.0000) (multiplicity 4)
Li (0.2500, 0.2500, 0.2500) (multiplicity 4)
Mn (0.2500, 0.2500, 0.7500) (multiplicity 4)

ΔE to the lowest computed polymorph	511	meV/atom
formation enthalpy at 0 K	0.97	eV/atom

Record 11
VASP calculation (PBE) on an optimized crystal structure of NiTe4Cl.

Unit cell a=8.8010 b=8.8010 c=8.8010 alpha=90.00 beta=90.00 gamma=90.00
Space group F-43m (No. 216)
Inequivalent atoms, fractional coordinates:
Ni (0.0000, 0.0000, 0.0000) (multiplicity 4)
Te (0.1250, 0.1250, 0.6250) (multiplicity 16)
Cl (0.2500, 0.2500, 0.2500) (multiplicity 4)

formation energy (no corrections)	0.635	eV per atom
ΔE to the lowest computed polymorph	699	meV/atom

Record 12
VASP calculation (PBE) on an optimized crystal structure of Th4ZrPa3P8.

Unit cell a=8.0431 b=8.0431 c=19.7821 alpha=90.00 beta=90.00 gamma=120.00
Space group R-3m (No. 166, hexagonal axes)
Inequivalent atoms, fractional coordinates:
Th (0.0000, 0.0000, 0.0000) (multiplicity 3)
Th (0.0000, 0.5000, 0.0000) (multiplicity 9)
Zr (0.0000, 0.0000, 0.5000) (multiplicity 3)
Pa (0.0000, 0.5000, 0.5000) (multiplicity 9)
P (0.0000, 0.0000, 0.2457) (multiplicity 6)
P (0.0053, 0.5027, 0.2441) (multiplicity 18)

formation enthalpy at 0 K	-1.43	eV/atom

Record 13
VASP calculation (PBE) on an optimized crystal structure of BeReAs2.

Unit cell a=8.0537 b=3.1672 c=5.8841 alpha=90.00 beta=106.32 gamma=90.00
Space group Cm (No. 8)
Inequivalent atoms, fractional coordinates:
Be (0.0000, 0.0000, 0.0000) (multiplicity 2)
Re (0.2573, 0.0000, 0.8683) (multiplicity 2)
As (0.0087, 0.5000, 0.6875) (multiplicity 2)
As (0.2918, 0.5000, 0.2096) (multiplicity 2)

formation enthalpy at 0 K	0.17	eV/atom

Record 14
VASP calculation (PBE) on an optimized crystal structure of SiNi5B.

Unit cell a=3.4661 b=3.4661 c=5.9604 alpha=90.00 beta=90.00 gamma=90.00
Space group P4/mmm (No. 123)
Inequivalent atoms, fractional coordinates:
Si (0.0000, 0.0000, 0.0000) (multiplicity 1)
Ni (0.0000, 0.5000, 0.2981) (multiplicity 4)
Ni (0.5000, 0.5000, 0.0000) (multiplicity 1)
B (0.5000, 0.5000, 0.5000) (multiplicity 1)

formation energy (no corrections)	-0.350	eV per atom
ΔE to the lowest computed polymorph	0	meV/atom

Record 15
VASP calculation (PBE) on an optimized crystal structure of ZnTeIr2.

Unit cell a=2.9872 b=4.0629 c=11.9625 alpha=90.00 beta=90.00 gamma=90.00
Space group Imm2 (No. 44)
Inequivalent atoms, fractional coordinates:
Zn (0.0000, 0.0000, 0.0000) (multiplicity 2)
Te (0.0000, 0.5000, 0.2417) (multiplicity 2)
Ir (0.0000, 0.0000, 0.5488) (multiplicity 2)
Ir (0.0000, 0.5000, 0.8565) (multiplicity 2)

formation energy (no corrections)	0.193	eV per atom
ΔE to the lowest computed polymorph	4	meV/atom

Record 16
VASP calculation (PBE) on an optimized crystal structure of Pr2Er5Sc5.

Unit cell a=14.6595 b=4.8219 c=10.9244 alpha=90.00 beta=116.64 gamma=90.00
Space group C2/m (No. 12)
Inequivalent atoms, fractional coordinates:
Pr (0.0821, 0.0000, 0.2520) (multiplicity 4)
Er (0.0000, 0.0000, 0.5000) (multiplicity 2)
Er (0.1655, 0.0000, 0.9985) (multiplicity 4)
Er (0.2457, 0.0000, 0.7451) (multiplicity 4)
Sc (0.0000, 0.5000, 0.0000) (multiplicity 2)
Sc (0.0839, 0.5000, 0.7483) (multiplicity 4)
Sc (0.1672, 0.5000, 0.5017) (multiplicity 4)

formation enthalpy at 0 K	0.06	eV/atom

Record 17
VASP calculation (PBE) on an optimized crystal structure of TcGePb3.

Unit cell a=5.3328 b=5.3328 c=5.3328 alpha=90.00 beta=90.00 gamma=90.00
Space group Pm-3m (No. 221)
Inequivalent atoms, fractional coordinates:
Tc (0.0000, 0.0000, 0.0000) (multiplicity 1)
Ge (0.5000, 0.5000, 0.5000) (multiplicity 1)
Pb (0.0000, 0.0000, 0.5000) (multiplicity 3)

ΔE to the lowest computed polymorph	0	meV/atom
formation enthalpy at 0 K	0.62	eV/atom

Record 18
VASP calculation (PBE) on an optimized crystal structure of LaNdMg.

Unit cell a=5.6270 b=5.6270 c=3.4601 alpha=90.00 beta=90.00 gamma=120.00
Space group P3m1 (No. 156)
Inequivalent atoms, fractional coordinates:
La (0.0000, 0.0000, 0.0000) (multiplicity 1)
Nd (0.6667, 0.3333, 0.4164) (multiplicity 1)
Mg (0.3333, 0.6667, 0.6861) (multiplicity 1)

ΔE to the lowest computed polymorph	66	meV/atom
formation enthalpy at 0 K	0.01	eV/atom

Record 19
VASP calculation (PBE) on an optimized crystal structure of CeTmTlGa.

Unit cell a=3.4373 b=3.4373 c=8.4724 alpha=90.00 beta=90.00 gamma=90.00
Space group P4mm (No. 99)
Inequivalent atoms, fractional coordinates:
Ce (0.0000, 0.0000, 0.0000) (multiplicity 1)
Tm (0.0000, 0.0000, 0.5446) (multiplicity 1)
Tl (0.5000, 0.5000, 0.2806) (multiplicity 1)
Ga (0.5000, 0.5000, 0.7626) (multiplicity 1)

ΔE to the lowest computed polymorph	0	meV/atom
formation enthalpy at 0 K	-0.40	eV/atom

Record 20
VASP calculation (PBE) on an optimized crystal structure of TaW2Cl.

Unit cell a=2.8114 b=4.6900 c=5.1343 alpha=90.00 beta=91.11 gamma=90.00
Space group P2/m (No. 10)
Inequivalent atoms, fractional coordinates:
Ta (0.0000, 0.0000, 0.0000) (multiplicity 1)
W (0.3819, 0.5000, 0.7573) (multiplicity 2)
Cl (0.5000, 0.0000, 0.5000) (multiplicity 1)

formation energy (no corrections)	0.679	eV per atom
ΔE to the lowest computed polymorph	443	meV/atom

Record 21
VASP calculation (PBE) on an optimized crystal structure of NaAlSbO4.

Unit cell a=5.9602 b=6.7315 c=8.7981 alpha=90.00 beta=90.00 gamma=90.00
Space group Imma (No. 74)
Inequivalent atoms, fractional coordinates:
Na (0.0000, 0.2500, 0.1442) (multiplicity 4)
Al (0.2500, 0.2500, 0.7500) (multiplicity 4)
Sb (0.0000, 0.0000, 0.5000) (multiplicity 4)
O (0.0000, 0.0581, 0.7424) (multiplicity 8)
O (0.2256, 0.2500, 0.5233) (multiplicity 8)

formation energy (no corrections)	-1.902	eV per atom

Record 22
VASP calculation (PBE) on an optimized crystal structure of NbTl2Ni2Se4.

Unit cell a=13.5840 b=3.6200 c=8.3112 alpha=90.00 beta=105.14 gamma=90.00
Space group C2/m (No. 12)
Inequivalent atoms, fractional coordinates:
Nb (0.0000, 0.0000, 0.0000) (multiplicity 2)
Tl (0.1372, 0.0000, 0.5468) (multiplicity 4)
Ni (0.1696, 0.5000, 0.9808) (multiplicity 4)
Se (0.0178, 0.5000, 0.7713) (multiplicity 4)
Se (0.1976, 0.0000, 0.1674) (multiplicity 4)

formation energy (no corrections)	-0.469	eV per atom

Record 23
VASP calculation (PBE) on an optimized crystal structure of Dy4ErAg2.

Unit cell a=5.4107 b=5.4107 c=24.8222 alpha=90.00 beta=90.00 gamma=120.00
Space group R-3m (No. 166, hexagonal axes)
Inequivalent atoms, fractional coordinates:
Dy (0.0000, 0.0000, 0.1265) (multiplicity 6)
Dy (0.0000, 0.0000, 0.2693) (multiplicity 6)
Er (0.0000, 0.0000, 0.5000) (multiplicity 3)
Ag (0.0000, 0.0000, 0.3867) (multiplicity 6)

formation enthalpy at 0 K	0.11	eV/atom

Record 24
VASP calculation (PBE) on an optimized crystal structure of Li3DyY2Se6.

Unit cell a=7.0517 b=12.2149 c=6.9127 alpha=90.00 beta=109.88 gamma=90.00
Space group C2/m (No. 12)
Inequivalent atoms, fractional coordinates:
Li (0.0000, 0.0000, 0.0000) (multiplicity 2)
Li (0.0000, 0.3328, 0.0000) (multiplicity 4)
Dy (0.0000, 0.5000, 0.5000) (multiplicity 2)
Y (0.0000, 0.1666, 0.5000) (multiplicity 4)
Se (0.2485, 0.5000, 0.2465) (multiplicity 4)
Se (0.2490, 0.1665, 0.2465) (multiplicity 8)

formation energy (no corrections)	-1.703	eV per atom

Record 25
VASP calculation (PBE) on an optimized crystal structure of Ta2IrPb.

Unit cell a=3.6643 b=4.4659 c=8.9715 alpha=90.00 beta=90.00 gamma=90.00
Space group Immm (No. 71)
Inequivalent atoms, fractional coordinates:
Ta (0.0000, 0.0000, 0.2389) (multiplicity 4)
Ir (0.0000, 0.5000, 0.5000) (multiplicity 2)
Pb (0.0000, 0.5000, 0.0000) (multiplicity 2)

formation enthalpy at 0 K	0.15	eV/atom

Record 26
VASP calculation (PBE) on an optimized crystal structure of YTmCd.

Unit cell a=3.5893 b=3.5893 c=13.0054 alpha=90.00 beta=90.00 gamma=90.00
Space group I4mm (No. 107)
Inequivalent atoms, fractional coordinates:
Y (0.0000, 0.0000, 0.0000) (multiplicity 2)
Tm (0.0000, 0.0000, 0.3120) (multiplicity 2)
Cd (0.0000, 0.0000, 0.6596) (multiplicity 2)

ΔE to the lowest computed polymorph	0	meV/atom
formation enthalpy at 0 K	-0.20	eV/atom

no.,density (g/cm3)
1,10.73
2,5.86
3,12.98
4,6.04
5,10.92
6,6.80
7,5.24
8,7.23
9,7.80
10,2.36
11,5.89
12,8.81
13,7.96
14,7.71
15,13.21
16,6.46
17,8.67
18,5.38
19,9.67
20,14.33
21,4.44
22,7.87
23,8.18
24,4.95
25,17.22
26,7.34